No. 1
Computed, not measured: crystalline ZrTeP2 at its relaxed geometry at the PBE level of DFT.

Values from the calculation:
The calculation puts the energy above the lowest structure with this stoichiometry at 0.473 eV per atom. The calculation puts the uncorrected formation energy at -11.0 kJ per mole of atoms.

Lattice parameters (Å, degrees): 3.7165 3.7165 20.8592 90.00 90.00 120.00
Last column: nearest neighbours and their distance in Å.
Space group R-3m (No. 166, hexagonal axes)
Asymmetric unit:
Zr1 0.0000 0.0000 0.0000 (multiplicity 3)  6 P 2.69
Te1 0.0000 0.0000 0.5000 (multiplicity 3)  6 P 2.83
P1 0.0000 0.0000 0.2554 (multiplicity 6)  3 Zr 2.69, 3 Te 2.83

No. 2
Computed, not measured: crystalline HfMo at its relaxed geometry at the PBE level of DFT.

Values from the calculation:
The energy relative to the elements is 12.3 kcal/mol of atoms. The calculation puts the energy above the lowest structure with this stoichiometry at 0.639 eV per atom.

Lattice parameters (Å, degrees): 7.3481 8.3758 10.3486 90.00 90.00 90.00
Last column: nearest neighbours and their distance in Å.
Space group Fddd (No. 70, origin choice 2)
Asymmetric unit:
Hf1 0.1250 0.3124 0.1250 (multiplicity 16)  6 Mo 2.71-2.90
Mo1 0.0430 0.3750 0.8750 (multiplicity 16)  1 Mo 2.47, 2 Hf 2.71

No. 3
Computed, not measured: crystalline SmMn6Ge6 at its relaxed geometry at the PBE level of DFT.

Values from the calculation:
The energy relative to the elements is -6.8 kcal/mol of atoms.

Lattice parameters (Å, degrees): 5.1893 8.1850 8.9773 90.00 90.00 90.00
Last column: nearest neighbours and their distance in Å.
Space group Immm (No. 71)
Asymmetric unit:
Sm1 0.0000 0.0000 0.0000 (multiplicity 2)  8 Ge 2.84-3.03
Mn1 0.0000 0.2479 0.5000 (multiplicity 4)  6 Ge 2.50-2.71, 4 Mn 2.59
Mn2 0.2500 0.2500 0.2500 (multiplicity 8)  6 Ge 2.53-2.71, 4 Mn 2.59
Ge1 0.0000 0.0000 0.3374 (multiplicity 4)  6 Mn 2.50-2.55
Ge2 0.0000 0.3464 0.0000 (multiplicity 4)  1 Ge 2.51, 6 Mn 2.71
Ge3 0.0000 0.5000 0.3298 (multiplicity 4)  6 Mn 2.53-2.57

No. 4
Computed, not measured: crystalline AlInOs2 at its relaxed geometry at the PBE level of DFT.

Values from the calculation:
The energy relative to the elements is 6.0 kcal/mol of atoms. The calculation puts the energy above the lowest structure with this stoichiometry at 0.154 eV per atom.

Lattice parameters (Å, degrees): 3.0589 4.4033 9.4602 90.00 90.00 90.00
Last column: nearest neighbours and their distance in Å.
Space group Imm2 (No. 44)
Asymmetric unit:
Al1 0.0000 0.0000 0.0000 (multiplicity 2)  6 Os 2.65-2.70
In1 0.0000 0.5000 0.7729 (multiplicity 2)  6 Os 2.68-2.93, 2 Al 3.00
Os1 0.0000 0.0000 0.5367 (multiplicity 2)  2 Os 2.70, 4 Al 2.70, 2 In 2.93
Os2 0.0000 0.5000 0.2718 (multiplicity 2)  2 Al 2.65, 4 In 2.68, 2 Os 2.70

No. 5
Computed, not measured: crystalline Pr8YTl6 at its relaxed geometry at the PBE level of DFT.

Values from the calculation:
The energy relative to the elements is -4.1 kcal/mol of atoms.

Lattice parameters (Å, degrees): 9.3844 9.3844 20.0670 90.00 90.00 120.00
Last column: nearest neighbours and their distance in Å.
Space group R-3 (No. 148, hexagonal axes)
Asymmetric unit:
Pr1 0.0000 0.0000 0.1649 (multiplicity 6)  6 Tl 3.36-3.38
Pr2 0.0009 0.3377 0.3874 (multiplicity 18)  5 Tl 3.28-3.41
Y1 0.0000 0.0000 0.5000 (multiplicity 3)  6 Tl 3.26
Tl1 0.0007 0.6755 0.4429 (multiplicity 18)  1 Y 3.26, 7 Pr 3.28-3.41

No. 6
Computed, not measured: crystalline BeGa3Ir at its relaxed geometry at the PBE level of DFT.

Values from the calculation:
The energy relative to the elements is 7.5 kcal/mol of atoms. The calculation puts the energy above the lowest structure with this stoichiometry at 0.000 eV per atom.

Lattice parameters (Å, degrees): 4.8150 4.8150 4.8150 90.00 90.00 90.00
Last column: nearest neighbours and their distance in Å.
Space group Pm-3m (No. 221)
Asymmetric unit:
Be1 0.0000 0.0000 0.0000 (multiplicity 1)  12 Ga 3.40
Ga1 0.0000 0.5000 0.5000 (multiplicity 3)  2 Ir 2.41
Ir1 0.5000 0.5000 0.5000 (multiplicity 1)  6 Ga 2.41

No. 7
Computed, not measured: crystalline Zn5Te3 at its relaxed geometry at the PBE level of DFT.

Values from the calculation:
The calculation puts the energy above the lowest structure with this stoichiometry at 0.149 eV per atom. The calculation puts the uncorrected formation energy at 0.4 kJ per mole of atoms.

Lattice parameters (Å, degrees): 4.0310 4.0310 12.9643 90.00 90.00 90.00
Last column: nearest neighbours and their distance in Å.
Space group P4/mmm (No. 123)
Asymmetric unit:
Zn1 0.0000 0.0000 0.0000 (multiplicity 1)  2 Zn 2.62
Zn2 0.0000 0.0000 0.2023 (multiplicity 2)  1 Zn 2.62, 4 Te 2.85
Zn3 0.5000 0.5000 0.4076 (multiplicity 2)  1 Zn 2.40, 1 Te 2.58
Te1 0.0000 0.0000 0.5000 (multiplicity 1)  8 Zn 3.09
Te2 0.5000 0.5000 0.2085 (multiplicity 2)  5 Zn 2.58-2.85

No. 8
Computed, not measured: crystalline NdIO4 at its relaxed geometry at the PBE level of DFT.

Values from the calculation:
The calculation puts the energy above the lowest structure with this stoichiometry at 0.090 eV per atom. The calculation puts the uncorrected formation energy at -142.7 kJ per mole of atoms.

Lattice parameters (Å, degrees): 7.5892 7.5892 7.1467 90.00 90.00 90.00
Last column: nearest neighbours and their distance in Å.
Space group I4_1/amd (No. 141, origin choice 2)
Asymmetric unit:
Nd1 0.0000 0.2500 0.3750 (multiplicity 4)  8 O 2.43-2.58
I1 0.0000 0.2500 0.8750 (multiplicity 4)  4 O 1.98
O1 0.0000 0.0657 0.6787 (multiplicity 16)  1 I 1.98

Number 1: VASP energy -68.9 eV/cell, ρ 5.61 g/cm³. Number 2: VASP energy -315.5 eV/cell, ρ 11.45 g/cm³. Number 3: VASP energy -182.5 eV/cell, ρ 7.98 g/cm³. Number 4: VASP energy -55.8 eV/cell, ρ 13.61 g/cm³. Number 5: VASP energy -184.7 eV/cell, ρ 7.95 g/cm³. Number 6: VASP energy -20.0 eV/cell, ρ 6.10 g/cm³. Number 7: VASP energy -15.8 eV/cell, ρ 5.60 g/cm³. Number 8: VASP energy -140.1 eV/cell, ρ 5.41 g/cm³.